DFT (GGA-PBE) results for crystalline Ba2SrBS at its relaxed geometry.

Summary:
The energy relative to the elements, uncorrected comes out at 30 meV per atom. The space group is P4/mmm (123).

abc: 6.048 6.048 5.579
angles: 90.00 90.00 90.00
Fractional coordinates of all 5 atoms:
Ba 0.000 0.500 0.000
Ba 0.500 0.000 0.000
Sr 0.000 0.000 0.500
B 0.500 0.500 0.500
S 0.000 0.000 0.000



DFT (GGA-PBE) results for crystalline CaCo2Ni at its relaxed geometry.

Summary:
For the energy relative to the elements, the calculation gives 0.35 eV per atom. The space group is P4/mmm (123).

abc: 3.079 3.079 6.502
angles: 90.00 90.00 90.00
Fractional coordinates of all 4 atoms:
Ca 0.000 0.000 0.000
Co 0.500 0.500 0.324
Co 0.500 0.500 0.676
Ni 0.000 0.000 0.500



DFT (GGA-PBE) results for crystalline NaTl at its relaxed geometry.

Summary:
For the energy relative to the elements, the calculation gives -0.09 eV per atom. The space group is Cmcm (63).

abc: 9.453 8.062 6.399
angles: 90.00 90.00 90.00
Fractional coordinates of all 16 atoms:
Na 0.186 0.180 0.250
Na 0.186 0.820 0.750
Na 0.314 0.320 0.750
Na 0.314 0.680 0.250
Na 0.686 0.320 0.750
Na 0.686 0.680 0.250
Na 0.814 0.180 0.250
Na 0.814 0.820 0.750
Tl 0.000 0.148 0.750
Tl 0.000 0.500 0.000
Tl 0.000 0.500 0.500
Tl 0.000 0.852 0.250
Tl 0.500 0.000 0.000
Tl 0.500 0.000 0.500
Tl 0.500 0.352 0.250
Tl 0.500 0.648 0.750



DFT (GGA-PBE) results for crystalline NaNiTe at its relaxed geometry.

Summary:
The energy relative to the elements, uncorrected comes out at -361 meV per atom. The space group is P-6m2 (187).

abc: 4.243 4.243 4.548
angles: 90.00 90.00 120.00
Fractional coordinates of all 3 atoms:
Na 0.000 0.000 0.000
Ni 0.333 0.667 0.500
Te 0.667 0.333 0.500



DFT (GGA-PBE) results for crystalline Pm2Pr2Th at its relaxed geometry.

Summary:
For the energy relative to the elements, the calculation gives 0.50 eV per atom. The space group is I4/mmm (139).

abc: 6.113 6.113 9.621
angles: 90.00 90.00 90.00
Fractional coordinates of all 10 atoms:
Pm 0.000 0.000 0.151
Pm 0.000 0.000 0.849
Pm 0.500 0.500 0.349
Pm 0.500 0.500 0.651
Pr 0.000 0.500 0.250
Pr 0.000 0.500 0.750
Pr 0.500 0.000 0.250
Pr 0.500 0.000 0.750
Th 0.000 0.000 0.500
Th 0.500 0.500 0.000



DFT (GGA-PBE) results for crystalline ZrNiRu at its relaxed geometry.

Summary:
For the energy relative to the elements, the calculation gives -0.40 eV per atom. The space group is Cmmm (65).

abc: 4.019 12.510 3.654
angles: 90.00 90.00 90.00
Fractional coordinates of all 12 atoms:
Zr 0.000 0.151 0.000
Zr 0.000 0.849 0.000
Zr 0.500 0.349 0.000
Zr 0.500 0.651 0.000
Ni 0.000 0.000 0.500
Ni 0.000 0.500 0.000
Ni 0.500 0.000 0.000
Ni 0.500 0.500 0.500
Ru 0.000 0.343 0.500
Ru 0.000 0.657 0.500
Ru 0.500 0.157 0.500
Ru 0.500 0.843 0.500



DFT (GGA-PBE) results for crystalline Li2Cu at its relaxed geometry.

Summary:
For the energy relative to the elements, the calculation gives -0.01 eV per atom. The space group is Immm (71).

abc: 2.623 3.976 8.085
angles: 90.00 90.00 90.00
Fractional coordinates of all 6 atoms:
Li 0.000 0.000 0.160
Li 0.000 0.000 0.840
Li 0.500 0.500 0.340
Li 0.500 0.500 0.660
Cu 0.000 0.000 0.500
Cu 0.500 0.500 0.000



DFT (GGA-PBE) results for crystalline LaCoPb2 at its relaxed geometry.

Summary:
For the energy relative to the elements, the calculation gives -0.18 eV per atom. The space group is Cmmm (65).

abc: 5.172 9.464 4.380
angles: 90.00 90.00 90.00
Fractional coordinates of all 8 atoms:
La 0.000 0.000 0.000
La 0.500 0.500 0.000
Co 0.000 0.500 0.000
Co 0.500 0.000 0.000
Pb 0.000 0.334 0.500
Pb 0.000 0.666 0.500
Pb 0.500 0.166 0.500
Pb 0.500 0.834 0.500



Total moment values (in μB/f.u.) by entry order: 0.98 3.61 0.00 0.00 0.00 0.00 0.00 0.00.
Total energy values (in eV per atom) by entry order: -3.236 -5.151 -1.933 -3.775 -4.796 -8.267 -2.652 -5.038.
Calculated volume values (in A^3/atom) by entry order: 40.8 15.4 30.5 23.6 35.9 15.3 14.1 26.8.